Run P
Below is a relaxed structure of AgPtC3, with properties calculated at the PBE-GGA level.

M_tot, Bohr magnetons per cell: 0.0
Mass density, g/cm3: 8.31
DOS(E_F), states/eV/f.u.: 2.45

a b c (Å): 4.0769 4.0769 4.0769
angles (deg): 90.00 90.00 90.00
Element x y z (fractional)
Ag1 0.0000 0.0000 0.0000
Pt1 0.5000 0.5000 0.5000
C1 0.0000 0.0000 0.5000
C2 0.0000 0.5000 0.0000
C3 0.5000 0.0000 0.0000


Run Q
Below is a relaxed structure of AgPtC3, with properties calculated at the PBE-GGA level.

M_tot, Bohr magnetons per cell: 1.1
Mass density, g/cm3: 8.35
DOS(E_F), states/eV/f.u.: 4.12

a b c (Å): 4.0693 4.0693 4.0693
angles (deg): 90.00 90.00 90.00
Element x y z (fractional)
Ag1 0.0000 0.0000 0.0000
Pt1 0.5000 0.5000 0.5000
C1 0.0000 0.5000 0.5000
C2 0.5000 0.0000 0.5000
C3 0.5000 0.5000 0.0000


Bottom line: run Q, by a margin of 73.9 kJ/mol of atoms.


Run P
Below is a relaxed structure of Ag2PtC2, with properties calculated at the PBE-GGA level.

M_tot, Bohr magnetons per cell: 0.0
Mass density, g/cm3: 10.74
DOS(E_F), states/eV/f.u.: 0.28

a b c (Å): 5.0257 5.0257 5.0257
angles (deg): 132.73 132.73 69.08
Element x y z (fractional)
Ag1 0.2500 0.7500 0.5000
Ag2 0.7500 0.2500 0.5000
Pt1 0.0000 0.0000 0.0000
C1 0.4206 0.4206 0.0000
C2 0.5794 0.5794 0.0000


Run Q
Below is a relaxed structure of Ag2PtC2, with properties calculated at the PBE-GGA level.

M_tot, Bohr magnetons per cell: 0.0
Mass density, g/cm3: 11.34
DOS(E_F), states/eV/f.u.: 0.35

a b c (Å): 5.3362 5.3362 4.4742
angles (deg): 90.00 90.00 90.00
Element x y z (fractional)
Ag1 0.1852 0.3148 0.0000
Ag2 0.3148 0.8148 0.0000
Ag3 0.6852 0.1852 0.0000
Ag4 0.8148 0.6852 0.0000
Pt1 0.0000 0.0000 0.5000
Pt2 0.5000 0.5000 0.5000
C1 0.0928 0.4072 0.5000
C2 0.4072 0.9072 0.5000
C3 0.5928 0.0928 0.5000
C4 0.9072 0.5928 0.5000


Bottom line: run Q, by a margin of 50.0 kJ/mol of atoms.


Run P
Below is a relaxed structure of AgPt3C, with properties calculated at the PBE-GGA level.

M_tot, Bohr magnetons per cell: 1.4
Mass density, g/cm3: 9.92
DOS(E_F), states/eV/f.u.: 5.41

a b c (Å): 4.9053 4.9053 4.9053
angles (deg): 90.00 90.00 90.00
Element x y z (fractional)
Ag1 0.0000 0.0000 0.0000
Pt1 0.0000 0.0000 0.5000
Pt2 0.0000 0.5000 0.0000
Pt3 0.5000 0.0000 0.0000
C1 0.5000 0.5000 0.5000


Run Q
Below is a relaxed structure of AgPt3C, with properties calculated at the PBE-GGA level.

M_tot, Bohr magnetons per cell: 0.0
Mass density, g/cm3: 15.78
DOS(E_F), states/eV/f.u.: 7.11

a b c (Å): 4.2026 4.2026 4.2026
angles (deg): 90.00 90.00 90.00
Element x y z (fractional)
Ag1 0.0000 0.0000 0.0000
Pt1 0.0000 0.5000 0.5000
Pt2 0.5000 0.0000 0.5000
Pt3 0.5000 0.5000 0.0000
C1 0.5000 0.5000 0.5000


Bottom line: run Q, by a margin of 250.0 kJ/mol of atoms.